Entry 1:
DFT (PBE-GGA) results for crystalline GaCu2IrPb at its relaxed geometry.

Summary:
Space-group type: No. 123
Theoretical density (g/cm³): 8.5
ΔE_f (kJ/mol of atoms): 66

a b c (Å): 4.787 5.104 4.787
angles (deg): 90.00 90.00 90.00
Atoms (fractional coordinates):
Pb 0.000 0.500 0.000
Ir 0.000 0.000 0.000
Cu 0.000 0.000 0.500
Cu 0.500 0.000 0.000
Ga 0.500 0.500 0.500

---

Entry 2:
DFT (PBE-GGA) results for crystalline K2Hf2ZrTe6 at its relaxed geometry.

Summary:
Space-group type: No. 12
ΔE_f (raw) (eV/atom): -0.936
Theoretical density (g/cm³): 5.8

a b c (Å): 7.054 7.054 8.956
angles (deg): 97.50 97.50 120.02
Atoms (fractional coordinates):
K 0.835 0.165 0.000
K 0.165 0.835 0.000
Hf 0.331 0.669 0.500
Hf 0.669 0.331 0.500
Zr 0.000 0.000 0.500
Te 0.726 0.726 0.700
Te 0.071 0.404 0.702
Te 0.274 0.274 0.300
Te 0.404 0.071 0.702
Te 0.929 0.596 0.298
Te 0.596 0.929 0.298

---

Entry 3:
DFT (PBE-GGA) results for crystalline HoTmRhAu at its relaxed geometry.

Summary:
Space-group type: No. 216
Energy above the most stable polymorph in this dataset (meV per atom): 20.9
Theoretical density (g/cm³): 12.4
ΔE_f (kJ/mol of atoms): -84

a b c (Å): 4.932 4.932 4.932
angles (deg): 60.00 60.00 60.00
Atoms (fractional coordinates):
Rh 0.500 0.500 0.500
Tm 0.750 0.750 0.750
Au 0.000 0.000 0.000
Ho 0.250 0.250 0.250

---

Entry 4:
DFT (PBE-GGA) results for crystalline RbIrPt3 at its relaxed geometry.

Summary:
Space-group type: No. 221
Energy above the most stable polymorph in this dataset (meV per atom): 0.0
Theoretical density (g/cm³): 11.6
ΔE_f (kJ/mol of atoms): 77

a b c (Å): 4.975 4.975 4.975
angles (deg): 90.00 90.00 90.00
Atoms (fractional coordinates):
Ir 0.000 0.000 0.000
Rb 0.500 0.500 0.500
Pt 0.000 0.500 0.000
Pt 0.000 0.000 0.500
Pt 0.500 0.000 0.000

---

Entry 5:
DFT (PBE-GGA) results for crystalline CoSi2Ni at its relaxed geometry.

Summary:
Space-group type: No. 10
ΔE_f (raw) (eV/atom): -0.355
Theoretical density (g/cm³): 6.5

a b c (Å): 2.866 2.747 6.233
angles (deg): 63.94 90.00 90.00
Each line ends with the local moment (μB).
Atoms (fractional coordinates):
Co 0.500 0.250 0.250  0.14
Ni 0.500 0.750 0.750  0.00
Si 0.000 0.995 0.005  0.00
Si 0.000 0.505 0.495  0.00

---

Entry 6:
DFT (PBE-GGA) results for crystalline Tl2CdBr at its relaxed geometry.

Summary:
Space-group type: No. 65
ΔE_f (raw) (eV/atom): -0.275
Energy above the most stable polymorph in this dataset (meV per atom): 20.1
Theoretical density (g/cm³): 8.1

a b c (Å): 5.660 5.660 3.830
angles (deg): 90.01 90.01 91.29
Atoms (fractional coordinates):
Tl 0.000 0.000 0.000
Tl 0.500 0.500 0.000
Br 0.500 0.000 0.500
Cd 0.000 0.500 0.500

---

Entry 7:
DFT (PBE-GGA) results for crystalline KIrSe2 at its relaxed geometry.

Summary:
Space-group type: No. 99
ΔE_f (raw) (eV/atom): 0.012
Theoretical density (g/cm³): 6.5

a b c (Å): 3.217 3.217 9.588
angles (deg): 90.00 90.00 90.00
Atoms (fractional coordinates):
Ir 0.000 0.000 0.444
K 0.500 0.500 0.734
Se 0.000 0.000 0.983
Se 0.500 0.500 0.339

---

Entry 8:
DFT (PBE-GGA) results for crystalline AcHgBiRh at its relaxed geometry.

Summary:
Space-group type: No. 216
Theoretical density (g/cm³): 11.8
ΔE_f (kJ/mol of atoms): -32

a b c (Å): 5.278 5.278 5.278
angles (deg): 60.00 60.00 60.00
Atoms (fractional coordinates):
Ac 0.500 0.500 0.500
Rh 0.250 0.250 0.250
Bi 0.000 0.000 0.000
Hg 0.750 0.750 0.750